<a>
Here is an optimized crystal structure of NaAu3Cl from the Alexandria database. Energies are from PBE-GGA.

Computed properties:
**DOS at the Fermi energy**: 4.69 states/eV/cell
**Total moment**: 0.000 μB per atom

Lattice parameters (Å, degrees): 5.1591 5.1591 5.1591 90.00 90.00 90.00
Element x y z (fractional)
Na 0.5000 0.5000 0.5000
Au 0.0000 0.0000 0.5000
Au 0.0000 0.5000 0.0000
Au 0.5000 0.0000 0.0000
Cl 0.0000 0.0000 0.0000

<b>
Here is an optimized crystal structure of NaAu3Cl from the Alexandria database. Energies are from PBE-GGA.

Computed properties:
**DOS at the Fermi energy**: 4.77 states/eV/cell
**Total moment**: 0.000 μB per atom

Lattice parameters (Å, degrees): 5.0694 5.0694 5.0694 90.00 90.00 90.00
Element x y z (fractional)
Au 0.5000 0.0000 0.0000
Na 0.0000 0.0000 0.0000
Au 0.0000 0.5000 0.0000
Au 0.0000 0.0000 0.5000
Cl 0.5000 0.5000 0.5000

Tell me which of them is the least stable. Sure, it is <b>.

<a>
Here is an optimized crystal structure of NaAuCl5 from the Alexandria database. Energies are from PBE-GGA.

Computed properties:
**Total moment**: 0.000 μB per atom

Lattice parameters (Å, degrees): 7.5580 7.5580 9.9272 70.90 70.90 52.31
Element x y z (fractional)
Cl 0.1030 0.6311 0.5166
Cl 0.8835 0.1165 0.2500
Cl 0.6256 0.1186 0.6108
Cl 0.6311 0.1030 0.0166
Cl 0.1165 0.8835 0.7500
Na 0.4398 0.5602 0.2500
Cl 0.3744 0.8814 0.3892
Cl 0.1186 0.6256 0.1108
Cl 0.3689 0.8970 0.9834
Cl 0.8814 0.3744 0.8892
Au 0.0000 0.0000 0.5000
Au 0.0000 0.0000 0.0000
Cl 0.8970 0.3689 0.4834
Na 0.5602 0.4398 0.7500

<b>
Here is an optimized crystal structure of NaAuCl5 from the Alexandria database. Energies are from PBE-GGA.

Computed properties:
**DOS at the Fermi energy**: 1.48 states/eV/cell
**Total moment**: 0.000 μB per atom

Lattice parameters (Å, degrees): 6.7923 6.7923 9.4444 104.26 104.26 97.65
Element x y z (fractional)
Cl 0.2522 0.6984 0.5485
Cl 0.8016 0.2478 0.9515
Cl 0.2227 0.2773 0.2500
Cl 0.7752 0.8768 0.1270
Au 0.0000 0.0000 0.0000
Na 0.0620 0.4380 0.7500
Cl 0.6232 0.7248 0.3730
Cl 0.2248 0.1232 0.8730
Au 0.5000 0.5000 0.5000
Cl 0.7773 0.7227 0.7500
Na 0.9380 0.5620 0.2500
Cl 0.7478 0.3016 0.4515
Cl 0.1984 0.7522 0.0485
Cl 0.3768 0.2752 0.6270

Tell me which of them is the least stable. Sure, it is <a>.

<a>
Here is an optimized crystal structure of NaP2AuCl from the Alexandria database. Energies are from PBE-GGA.

Computed properties:
**DOS at the Fermi energy**: 5.08 states/eV/cell
**Total moment**: 0.368 μB per atom

Lattice parameters (Å, degrees): 5.0711 5.0711 4.7699 90.00 90.00 90.00
Element x y z (fractional)
Na 0.0000 0.0000 0.0000
P 0.0000 0.5000 0.0000
Cl 0.0000 0.0000 0.5000
Au 0.5000 0.5000 0.5000
P 0.5000 0.0000 0.0000

<b>
Here is an optimized crystal structure of NaP2AuCl from the Alexandria database. Energies are from PBE-GGA.

Computed properties:
**DOS at the Fermi energy**: 4.90 states/eV/cell
**Total moment**: 0.221 μB per atom

Lattice parameters (Å, degrees): 4.6443 4.6443 7.0931 90.00 90.00 90.00
Element x y z (fractional)
P 0.0000 0.5000 0.0000
P 0.5000 0.0000 0.0000
Na 0.5000 0.5000 0.5000
Cl 0.0000 0.0000 0.5000
Au 0.0000 0.0000 0.0000

Tell me which of them is the least stable. Sure, it is <a>.

<a>
Here is an optimized crystal structure of NaRh2AuCl from the Alexandria database. Energies are from PBE-GGA.

Computed properties:
**DOS at the Fermi energy**: 7.85 states/eV/cell
**Total moment**: 0.549 μB per atom

Lattice parameters (Å, degrees): 4.9834 5.5456 4.9834 90.00 90.00 90.00
Element x y z (fractional)
Rh 0.5000 0.0000 0.0000
Rh 0.0000 0.0000 0.5000
Cl 0.5000 0.5000 0.5000
Na 0.0000 0.5000 0.0000
Au 0.0000 0.0000 0.0000

<b>
Here is an optimized crystal structure of NaRh2AuCl from the Alexandria database. Energies are from PBE-GGA.

Computed properties:
**DOS at the Fermi energy**: 9.98 states/eV/cell
**Total moment**: 0.582 μB per atom

Lattice parameters (Å, degrees): 4.8768 4.5360 4.8768 90.00 90.00 90.00
Element x y z (fractional)
Rh 0.5000 0.0000 0.0000
Cl 0.0000 0.5000 0.0000
Rh 0.0000 0.0000 0.5000
Na 0.0000 0.0000 0.0000
Au 0.5000 0.5000 0.5000

Tell me which of them is the least stable. Sure, it is <b>.